[1]
# NdSmY5Th2 | Alexandria via LeMat-Bulk | GGA-PBE | optimized geometry
data_NdSmY5Th2
_symmetry_space_group_name_H-M 'I 4/m c m'
_symmetry_Int_Tables_number 140
_symmetry_space_group_name_Hall '-I 4 2c'
_cell_length_a 8.9288
_cell_length_b 8.9288
_cell_length_c 15.3107
_cell_angle_alpha 90.00
_cell_angle_beta 90.00
_cell_angle_gamma 90.00
loop_
_atom_site_label
_atom_site_type_symbol
_atom_site_fract_x
_atom_site_fract_y
_atom_site_fract_z
Nd1 Nd 0.0000 0.0000 0.2500
Sm1 Sm 0.0000 0.5000 0.2500
Y1 Y 0.0000 0.0000 0.0000
Y2 Y 0.2071 0.2929 0.1365
Th1 Th 0.1178 0.3822 0.5000
# DOS(E_F) (states/eV per atom): 1.4224
# ρ (g/cm3): 6.5
# ΔE_f (kJ/mol of formula units): 273
# Total DFT energy (no corrections) (eV/atom): -5.979

***

[2]
# CeSm2Y3P6 | Alexandria via LeMat-Bulk | GGA-PBE | optimized geometry
data_CeSm2Y3P6
_symmetry_space_group_name_H-M 'C 1 2/m 1'
_symmetry_Int_Tables_number 12
_cell_length_a 7.0260
_cell_length_b 12.1659
_cell_length_c 7.0170
_cell_angle_alpha 90.00
_cell_angle_beta 109.49
_cell_angle_gamma 90.00
loop_
_symmetry_equiv_pos_as_xyz
'x,y,z'
'-x,-y,-z'
'-x,y,-z'
'x,-y,z'
'x+1/2,y+1/2,z'
'-x+1/2,-y+1/2,-z'
'-x+1/2,y+1/2,-z'
'x+1/2,-y+1/2,z'
loop_
_atom_site_label
_atom_site_type_symbol
_atom_site_fract_x
_atom_site_fract_y
_atom_site_fract_z
Ce1 Ce 0.0000 0.0000 0.0000
Sm1 Sm 0.0000 0.3336 0.0000
Y1 Y 0.0000 0.1673 0.5000
Y2 Y 0.0000 0.5000 0.5000
P1 P 0.2451 0.0000 0.7470
P2 P 0.2494 0.1648 0.2539
# DOS(E_F) (states/eV per atom): 0.4439
# ρ (g/cm3): 5.2
# ΔE_f (kJ/mol of formula units): -1848
# Total DFT energy (no corrections) (eV/atom): -7.198